Entry 1:
Material: RbRePd
Method: DFT, PBE-GGA
State: optimized geometry

```
RbRePd
1.0
3.003 -0.001 -0.015
0.000 3.710 -0.003
-1.135 -3.426 13.839
Re Pd Rb
2 2 2
Direct
0.277 0.034 0.729
0.598 0.453 0.642
0.098 0.850 0.530
0.777 0.637 0.841
0.356 0.300 0.017
0.517 0.186 0.354
```

Output
Polymorph energy (0 for the lowest one), meV per atom: 102
Space group: P-1 (2)



Entry 2:
Material: RbRePd
Method: DFT, PBE-GGA
State: optimized geometry

```
RbRePd
1.0
0.357 0.967 4.080
-3.641 -1.484 -1.500
1.763 -5.486 1.147
Re Rb Pd
1 1 1
Direct
0.000 0.000 0.000
0.667 0.333 0.500
0.333 0.667 0.000
```

Output
Polymorph energy (0 for the lowest one), meV per atom: 936
Space group: P-6m2 (187)



Entry 3:
Material: RbRePd
Method: DFT, PBE-GGA
State: optimized geometry

```
RbRePd
1.0
-1.034 -5.030 -1.774
4.586 -1.047 0.297
-1.376 -3.214 9.915
Re Rb Pd
4 4 4
Direct
0.000 0.250 0.807
0.500 0.750 0.307
0.000 0.750 0.193
0.500 0.250 0.693
0.000 0.250 0.392
0.500 0.750 0.892
0.000 0.750 0.608
0.500 0.250 0.108
0.500 0.250 0.439
0.000 0.750 0.939
0.500 0.750 0.561
0.000 0.250 0.061
```

Output
Polymorph energy (0 for the lowest one), meV per atom: 931
Space group: Imma (74)



Entry 4:
Material: RbRePd3
Method: DFT, PBE-GGA
State: optimized geometry

```
RbRePd3
1.0
4.964 0.000 0.000
0.000 4.964 0.000
0.000 0.000 4.964
Re Rb Pd
1 1 3
Direct
0.000 0.000 0.000
0.500 0.500 0.500
0.000 0.500 0.000
0.000 0.000 0.500
0.500 0.000 0.000
```

Output
Polymorph energy (0 for the lowest one), meV per atom: 0
Space group: Pm-3m (221)



Entry 5:
Material: RbRePd
Method: DFT, PBE-GGA
State: optimized geometry

```
RbRePd
1.0
-2.320 3.262 -2.733
-0.614 -4.735 -0.832
-6.223 -0.100 5.162
Re Rb Pd
2 2 2
Direct
0.333 0.667 0.140
0.333 0.667 0.860
0.667 0.333 0.000
0.667 0.333 0.500
0.000 0.000 0.174
0.000 0.000 0.826
```

Output
Polymorph energy (0 for the lowest one), meV per atom: 861
Space group: P-6m2 (187)



Entry 6:
Material: RbRePd3
Method: DFT, PBE-GGA
State: optimized geometry

```
RbRePd3
1.0
-2.206 -2.641 3.671
-0.195 -4.025 -3.013
4.518 -1.463 1.663
Re Rb Pd
1 1 3
Direct
0.500 0.500 0.500
0.000 0.000 0.000
0.000 0.500 0.000
0.000 0.000 0.500
0.500 0.000 0.000
```

Output
Polymorph energy (0 for the lowest one), meV per atom: 1493
Space group: Pm-3m (221)



Entry 7:
Material: RbRe2Pd
Method: DFT, PBE-GGA
State: optimized geometry

```
RbRe2Pd
1.0
-0.478 -4.233 -2.092
0.025 -2.105 4.254
-9.640 -2.338 1.549
Re Rb Pd
4 2 2
Direct
0.841 0.125 0.250
0.909 0.625 0.250
0.375 0.159 0.750
0.875 0.091 0.750
0.500 0.500 0.000
0.250 0.750 0.500
0.000 0.000 0.000
0.750 0.250 0.500
```

Output
Polymorph energy (0 for the lowest one), meV per atom: 0
Space group: I-42d (122)



Entry 8:
Material: RbRePd
Method: DFT, PBE-GGA
State: optimized geometry

```
RbRePd
1.0
-3.516 4.648 1.922
-0.566 -5.543 2.573
6.690 2.355 6.545
Re Rb Pd
2 2 2
Direct
0.000 0.000 0.250
0.000 0.000 0.750
0.333 0.667 0.250
0.667 0.333 0.750
0.000 0.000 0.000
0.000 0.000 0.500
```

Output
Polymorph energy (0 for the lowest one), meV per atom: 1688
Space group: P6_3/mmc (194)



| no. | magnetization (Bohr magnetons per cell) | DOS at the Fermi energy (states/eV/atom) | calculated formation energy (eV per atom) |
| --- | --- | --- | --- |
| 1 | 0.0 | 0.58 | 0.458 |
| 2 | 0.4 | 1.06 | 1.291 |
| 3 | 0.0 | 1.16 | 1.287 |
| 4 | 0.0 | 1.18 | 0.847 |
| 5 | 0.0 | 1.32 | 1.217 |
| 6 | 4.5 | 0.55 | 2.340 |
| 7 | 0.0 | 1.03 | 1.653 |
| 8 | 7.1 | 0.64 | 2.043 |